PuInCoO6, optimized geometry, DFT PBE+U; uncorrected energy = -7.50 eV/atom; total magnetization = 2.00 μB/f.u.; density = 7.82 g/cm³
1.0
-4.1556 -2.1126 -2.1864
4.6051 -0.4443 -2.2603
1.5739 -8.0528 4.7898
O In Co Pu
12 2 2 2
Direct
0.9803 0.3399 0.1345 O
0.6404 0.9803 0.8655 O
0.9803 0.6404 0.3655 O
0.6601 0.0197 0.3655 O
0.0197 0.6601 0.8655 O
0.6601 0.6404 0.1345 O
0.0197 0.3596 0.6345 O
0.3596 0.3399 0.3655 O
0.6404 0.6601 0.6345 O
0.3399 0.9803 0.6345 O
0.3596 0.0197 0.1345 O
0.3399 0.3596 0.8655 O
0.0000 0.0000 0.0000 In
0.0000 0.0000 0.5000 In
0.6667 0.3333 0.2500 Co
0.3333 0.6667 0.7500 Co
0.6667 0.3333 0.7500 Pu
0.3333 0.6667 0.2500 Pu